(1)
The following is a DFT calculation (PBE) of an optimized crystal structure of KBi4Pt2.

## Properties
The raw total energy is -24.19 eV/f.u.

a b c (Å): 5.713 5.713 14.596
angles (deg): 90.00 90.00 90.00
Space group I4/mmm (No. 139)
Inequivalent atoms, fractional coordinates:
K 0.000 0.000 0.000 (multiplicity 2)
Bi 0.000 0.000 0.233 (multiplicity 4)
Bi 0.000 0.500 0.000 (multiplicity 4)
Pt 0.000 0.000 0.409 (multiplicity 4)

(2)
The following is a DFT calculation (PBE) of an optimized crystal structure of YZnTcPt2.

## Properties
The raw total energy is -29.30 eV/f.u.

a b c (Å): 4.851 4.851 4.701
angles (deg): 90.00 90.00 90.00
Space group P4/mmm (No. 123)
Inequivalent atoms, fractional coordinates:
Y 0.000 0.000 0.000 (multiplicity 1)
Zn 0.500 0.500 0.000 (multiplicity 1)
Tc 0.500 0.500 0.500 (multiplicity 1)
Pt 0.000 0.500 0.500 (multiplicity 2)

(3)
The following is a DFT calculation (PBE) of an optimized crystal structure of FeOsPt2.

## Properties
The raw total energy is -29.67 eV/f.u.

a b c (Å): 6.142 6.142 6.142
angles (deg): 90.00 90.00 90.00
Space group Fm-3m (No. 225)
Inequivalent atoms, fractional coordinates:
Fe 0.000 0.000 0.000 (multiplicity 4)
Os 0.000 0.000 0.500 (multiplicity 4)
Pt 0.250 0.250 0.250 (multiplicity 8)

(4)
The following is a DFT calculation (PBE) of an optimized crystal structure of Dy4BS3.

## Properties
The uncorrected formation energy is -1.63 eV/atom.

a b c (Å): 7.843 11.009 3.868
angles (deg): 90.00 90.00 90.00
Space group Cmmm (No. 65)
Inequivalent atoms, fractional coordinates:
Dy 0.000 0.236 0.000 (multiplicity 4)
Dy 0.228 0.000 0.500 (multiplicity 4)
B 0.000 0.000 0.000 (multiplicity 2)
S 0.000 0.500 0.000 (multiplicity 2)
S 0.250 0.250 0.500 (multiplicity 4)

(5)
The following is a DFT calculation (PBE) of an optimized crystal structure of K4H3Cl4.

## Properties
The raw total energy is -35.00 eV/f.u.

a b c (Å): 8.621 5.789 12.633
angles (deg): 90.00 90.00 90.00
Space group Cm (No. 8)
Inequivalent atoms, fractional coordinates:
K 0.000 0.000 0.000 (multiplicity 2)
K 0.002 0.000 0.501 (multiplicity 2)
K 0.363 0.000 0.252 (multiplicity 2)
K 0.366 0.000 0.751 (multiplicity 2)
H 0.124 0.500 0.936 (multiplicity 2)
H 0.152 0.500 0.605 (multiplicity 2)
H 0.215 0.500 0.647 (multiplicity 2)
Cl 0.001 0.000 0.250 (multiplicity 2)
Cl 0.005 0.000 0.752 (multiplicity 2)
Cl 0.363 0.000 0.499 (multiplicity 2)
Cl 0.365 0.000 0.003 (multiplicity 2)

(6)
The following is a DFT calculation (PBE) of an optimized crystal structure of PmYHgPb.

## Properties
The raw total energy is -17.20 eV/f.u.

a b c (Å): 7.644 7.644 7.644
angles (deg): 90.00 90.00 90.00
Space group F-43m (No. 216)
Inequivalent atoms, fractional coordinates:
Pm 0.000 0.000 0.000 (multiplicity 4)
Y 0.000 0.000 0.500 (multiplicity 4)
Hg 0.250 0.250 0.250 (multiplicity 4)
Pb 0.250 0.250 0.750 (multiplicity 4)

(7)
The following is a DFT calculation (PBE) of an optimized crystal structure of CaAlSnAu3.

## Properties
The raw total energy is -22.37 eV/f.u.

a b c (Å): 6.565 14.300 6.035
angles (deg): 90.00 109.13 90.00
Space group C2/c (No. 15)
Inequivalent atoms, fractional coordinates:
Ca 0.000 0.229 0.250 (multiplicity 4)
Al 0.000 0.014 0.750 (multiplicity 4)
Sn 0.000 0.390 0.750 (multiplicity 4)
Au 0.000 0.196 0.750 (multiplicity 4)
Au 0.215 0.425 0.421 (multiplicity 8)

(8)
The following is a DFT calculation (PBE) of an optimized crystal structure of Mg11Cd9Pd4.

## Properties
The raw total energy is -54.40 eV/f.u.

a b c (Å): 13.808 20.887 3.329
angles (deg): 90.00 90.00 90.00
Space group Cmmm (No. 65)
Inequivalent atoms, fractional coordinates:
Mg 0.000 0.000 0.000 (multiplicity 2)
Mg 0.000 0.159 0.000 (multiplicity 4)
Mg 0.000 0.369 0.000 (multiplicity 4)
Mg 0.196 0.500 0.000 (multiplicity 4)
Mg 0.243 0.171 0.000 (multiplicity 8)
Cd 0.000 0.500 0.500 (multiplicity 2)
Cd 0.109 0.260 0.500 (multiplicity 8)
Cd 0.143 0.074 0.500 (multiplicity 8)
Pd 0.148 0.401 0.500 (multiplicity 8)

(9)
The following is a DFT calculation (PBE) of an optimized crystal structure of TcBHRh2.

## Properties
The raw total energy is -28.16 eV/f.u.

a b c (Å): 4.693 4.693 3.124
angles (deg): 90.00 90.00 90.00
Space group P4/mmm (No. 123)
Inequivalent atoms, fractional coordinates:
Tc 0.000 0.000 0.000 (multiplicity 1)
B 0.500 0.500 0.500 (multiplicity 1)
H 0.000 0.000 0.500 (multiplicity 1)
Rh 0.000 0.500 0.000 (multiplicity 2)

(10)
The following is a DFT calculation (PBE) of an optimized crystal structure of TaCr2Ag.

## Properties
The raw total energy is -32.03 eV/f.u.

a b c (Å): 4.303 4.303 3.266
angles (deg): 90.00 90.00 90.00
Space group P4/mmm (No. 123)
Inequivalent atoms, fractional coordinates:
Ta 0.000 0.000 0.000 (multiplicity 1)
Cr 0.000 0.500 0.500 (multiplicity 2)
Ag 0.500 0.500 0.000 (multiplicity 1)

(11)
The following is a DFT calculation (PBE) of an optimized crystal structure of NaRuN3.

## Properties
The uncorrected formation energy is 0.88 eV/atom.

a b c (Å): 3.864 3.864 3.864
angles (deg): 90.00 90.00 90.00
Space group Pm-3m (No. 221)
Inequivalent atoms, fractional coordinates:
Na 0.000 0.000 0.000 (multiplicity 1)
Ru 0.500 0.500 0.500 (multiplicity 1)
N 0.000 0.500 0.500 (multiplicity 3)

(12)
The following is a DFT calculation (PBE) of an optimized crystal structure of UMn2V.

## Properties
The raw total energy is -38.36 eV/f.u.

a b c (Å): 4.355 4.355 3.015
angles (deg): 90.00 90.00 90.00
Space group P4/mmm (No. 123)
Inequivalent atoms, fractional coordinates:
U 0.000 0.000 0.000 (multiplicity 1)
Mn 0.000 0.500 0.500 (multiplicity 2)
V 0.500 0.500 0.000 (multiplicity 1)

(13)
The following is a DFT calculation (PBE) of an optimized crystal structure of Tl2BO4.

## Properties
The uncorrected formation energy is -1.20 eV/atom.

a b c (Å): 7.521 7.535 7.593
angles (deg): 90.00 90.00 90.00
Space group Fmm2 (No. 42)
Inequivalent atoms, fractional coordinates:
Tl 0.250 0.250 0.000 (multiplicity 8)
B 0.000 0.000 0.250 (multiplicity 4)
O 0.000 0.169 0.352 (multiplicity 8)
O 0.169 0.000 0.147 (multiplicity 8)